1.
# ZrTiCd2, relaxed, DFT PBE
# energy relative to the lowest polymorph listed for this composition: 50.2 meV/atom
# energy: -18.37 eV/cell
# formation energy: -0.024 eV/atom
data_ZrTiCd2
_chemical_formula_sum 'Zr1 Ti1 Cd2'
_symmetry_space_group_name_H-M 'P 4/m m m'
_symmetry_Int_Tables_number 123
_symmetry_space_group_name_Hall '-P 4 2'
_cell_length_a 4.312
_cell_length_b 4.312
_cell_length_c 4.375
_cell_angle_alpha 90.00
_cell_angle_beta 90.00
_cell_angle_gamma 90.00
loop_
_atom_site_label
_atom_site_fract_x
_atom_site_fract_y
_atom_site_fract_z
Zr1 0.000 0.000 0.000
Ti1 0.500 0.500 0.000
Cd1 0.000 0.500 0.500


2.
# Zr3TiCd, relaxed, DFT PBE
# energy relative to the lowest polymorph listed for this composition: 0.0 meV/atom
# energy: -138.28 eV/cell
# formation energy: -0.023 eV/atom
data_Zr3TiCd
_chemical_formula_sum 'Zr12 Ti4 Cd4'
_symmetry_space_group_name_H-M 'C 1 2/m 1'
_symmetry_Int_Tables_number 12
_cell_length_a 19.462
_cell_length_b 3.144
_cell_length_c 7.294
_cell_angle_alpha 90.00
_cell_angle_beta 103.96
_cell_angle_gamma 90.00
loop_
_symmetry_equiv_pos_as_xyz
'x,y,z'
'-x,-y,-z'
'-x,y,-z'
'x,-y,z'
'x+1/2,y+1/2,z'
'-x+1/2,-y+1/2,-z'
'-x+1/2,y+1/2,-z'
'x+1/2,-y+1/2,z'
loop_
_atom_site_label
_atom_site_fract_x
_atom_site_fract_y
_atom_site_fract_z
Zr1 0.090 0.000 0.089
Zr2 0.121 0.000 0.512
Zr3 0.188 0.500 0.878
Ti1 0.217 0.500 0.327
Cd1 0.018 0.500 0.718


3.
# Zr4TiCd, relaxed, DFT PBE
# energy: -84.83 eV/cell
# formation energy: 0.098 eV/atom
data_Zr4TiCd
_chemical_formula_sum 'Zr8 Ti2 Cd2'
_symmetry_space_group_name_H-M 'C 1 2/m 1'
_symmetry_Int_Tables_number 12
_cell_length_a 10.237
_cell_length_b 5.064
_cell_length_c 6.171
_cell_angle_alpha 90.00
_cell_angle_beta 124.78
_cell_angle_gamma 90.00
loop_
_symmetry_equiv_pos_as_xyz
'x,y,z'
'-x,-y,-z'
'-x,y,-z'
'x,-y,z'
'x+1/2,y+1/2,z'
'-x+1/2,-y+1/2,-z'
'-x+1/2,y+1/2,-z'
'x+1/2,-y+1/2,z'
loop_
_atom_site_label
_atom_site_fract_x
_atom_site_fract_y
_atom_site_fract_z
Zr1 0.156 0.000 0.013
Zr2 0.174 0.000 0.527
Ti1 0.000 0.500 0.000
Cd1 0.000 0.500 0.500


4.
# ZrTi4Cd, relaxed, DFT PBE
# energy: -160.66 eV/cell
# formation energy: 0.146 eV/atom
data_ZrTi4Cd
_chemical_formula_sum 'Zr4 Ti16 Cd4'
_symmetry_space_group_name_H-M 'F -4 3 m'
_symmetry_Int_Tables_number 216
_symmetry_space_group_name_Hall 'F -4 2 3'
_cell_length_a 7.702
_cell_length_b 7.702
_cell_length_c 7.702
_cell_angle_alpha 90.00
_cell_angle_beta 90.00
_cell_angle_gamma 90.00
loop_
_atom_site_label
_atom_site_fract_x
_atom_site_fract_y
_atom_site_fract_z
Zr1 0.000 0.000 0.000
Ti1 0.128 0.128 0.628
Cd1 0.250 0.250 0.250


Question: energy of number 3 (Zr4TiCd)?
Answer: -84.83 eV/cell


Question: The lowest formation energy belongs to which entry?
Answer: ZrTiCd2